Record 1
The following is a DFT calculation (PBE) of a relaxed structure of LiZnW2.

Summary:
E = -6.887 eV/atom
Calculated formation energy = 0.386 eV/atom
Magnetic moment = 0.0 μB/f.u.

Structure (POSCAR):
```
LiZnW2
1.0
4.5441 -1.3081 0.0000
4.5441 1.3081 0.0000
-0.3487 0.0000 5.1372
Li Zn W
1 1 2
Direct
0.0000 0.0000 0.0000
0.7512 0.7512 0.2231
0.2453 0.2453 0.7312
0.4914 0.4914 0.5027
```

=====

Record 2
The following is a DFT calculation (PBE) of a relaxed structure of LiZn2W.

Summary:
E = -3.950 eV/atom
Calculated formation energy = 0.403 eV/atom
Magnetic moment = 0.0 μB/f.u.
Energy above the lowest structure with this stoichiometry = 7.57 kcal/mol of atoms

Structure (POSCAR):
```
LiZn2W
1.0
-1.3587 2.2916 4.5279
1.3587 -2.2916 4.5279
1.3587 2.2916 -4.5279
Li Zn W
1 2 1
Direct
0.0000 0.0000 0.0000
0.2330 0.7330 0.5000
0.7670 0.2670 0.5000
0.5000 0.5000 0.0000
```

=====

Record 3
The following is a DFT calculation (PBE) of a relaxed structure of LiZnW2.

Summary:
E = -6.903 eV/atom
Calculated formation energy = 0.371 eV/atom
Magnetic moment = 0.0 μB/f.u.

Structure (POSCAR):
```
LiZnW2
1.0
3.2511 0.0000 0.0000
0.0000 3.2511 0.0000
0.0000 0.0000 5.8973
Li Zn W
1 1 2
Direct
0.0000 0.0000 0.0000
0.5000 0.5000 0.7866
0.0000 0.0000 0.4919
0.5000 0.5000 0.2835
```

=====

Record 4
The following is a DFT calculation (PBE) of a relaxed structure of LiZnW2.

Summary:
E = -6.592 eV/atom
Calculated formation energy = 0.681 eV/atom
Magnetic moment = 0.0 μB/f.u.

Structure (POSCAR):
```
LiZnW2
1.0
3.3375 0.0000 0.0000
0.0000 3.3375 0.0000
0.0000 0.0000 5.1750
Li Zn W
1 1 2
Direct
0.0000 0.0000 0.0000
0.0000 0.0000 0.5000
0.5000 0.5000 0.2477
0.5000 0.5000 0.7523
```

=====

Record 5
The following is a DFT calculation (PBE) of a relaxed structure of Li3ZnW.

Summary:
E = -2.822 eV/atom
Calculated formation energy = 1.172 eV/atom
Magnetic moment = 1.1 μB/f.u.
Energy above the lowest structure with this stoichiometry = 0.00 kcal/mol of atoms

Structure (POSCAR):
```
Li3ZnW
1.0
4.2811 0.0000 0.0000
0.0000 4.2811 0.0000
0.0000 0.0000 4.2811
Li Zn W
3 1 1
Direct
0.0000 0.0000 0.5000
0.0000 0.5000 0.0000
0.5000 0.0000 0.0000
0.0000 0.0000 0.0000
0.5000 0.5000 0.5000
```

=====

Record 6
The following is a DFT calculation (PBE) of a relaxed structure of Li3ZnW.

Summary:
E = -2.505 eV/atom
Calculated formation energy = 1.489 eV/atom
Magnetic moment = 3.9 μB/f.u.
Energy above the lowest structure with this stoichiometry = 7.31 kcal/mol of atoms

Structure (POSCAR):
```
Li3ZnW
1.0
5.0452 0.0000 0.0000
0.0000 5.0452 0.0000
0.0000 0.0000 5.0452
Li Zn W
3 1 1
Direct
0.0000 0.0000 0.5000
0.0000 0.5000 0.0000
0.5000 0.0000 0.0000
0.5000 0.5000 0.5000
0.0000 0.0000 0.0000
```